(1)
! Zn4Si2H2O9 (meta-GGA SCAN, PBEsol geometry); values from VASP
! E_tot ... -10.089 eV/atom
! SG ... No. 8
! D(E_F) ... 0.00 states/eV per cell
! M_tot ... 0.00 μB per formula unit
&SYSTEM
  ibrav = 0, nat = 17, ntyp = 4
/
ATOMIC_SPECIES
Zn 65.41 Zn.upf
O 16.00 O.upf
Si 28.09 Si.upf
H 1.01 H.upf
CELL_PARAMETERS angstrom
-2.739 4.151 -1.066
-3.631 -4.374 4.511
5.488 1.630 4.459
ATOMIC_POSITIONS angstrom
Zn -2.128 0.188 6.254
Zn 0.717 2.062 6.238
Zn -1.611 -0.616 1.724
Zn 1.216 1.246 1.708
O -4.434 -0.063 3.660
O -2.695 -1.890 2.751
O 1.839 4.067 3.624
O -0.194 0.317 2.608
O -1.083 1.641 -0.365
O -2.872 -1.391 5.407
O 2.822 1.743 2.720
O 2.455 2.117 5.376
O -0.395 0.646 5.407
Si -3.681 -1.471 3.993
Si 2.837 2.820 3.956
H -0.330 0.531 3.567
H 0.143 -0.170 5.462

(2)
! SmH3O3 (meta-GGA SCAN, PBEsol geometry); values from VASP
! E_tot ... -12.611 eV/atom
! SG ... No. 176
! D(E_F) ... 0.00 states/eV per cell
! M_tot ... 0.00 μB per formula unit
&SYSTEM
  ibrav = 0, nat = 14, ntyp = 3
/
ATOMIC_SPECIES
H 1.01 H.upf
O 16.00 O.upf
Sm 150.36 Sm.upf
CELL_PARAMETERS angstrom
3.608 0.000 0.000
0.000 6.312 0.000
0.000 -3.156 5.466
ATOMIC_POSITIONS angstrom
H 2.706 1.862 4.679
H 0.902 3.191 3.952
H 0.902 1.294 0.787
H 2.706 -1.827 4.739
H 2.706 -0.035 1.514
H 0.902 4.983 0.727
O 2.706 0.944 5.018
O 0.902 4.818 1.692
O 0.902 2.212 0.448
O 0.902 2.438 3.327
O 2.706 0.718 2.139
O 2.706 -1.662 3.774
Sm 2.706 3.156 1.822
Sm 0.902 0.000 3.644

(3)
! Sr2SnH8O8 (meta-GGA SCAN, PBEsol geometry); values from VASP
! E_tot ... -9.979 eV/atom
! SG ... No. 14
! D(E_F) ... 0.00 states/eV per cell
! M_tot ... 0.00 μB per formula unit
&SYSTEM
  ibrav = 0, nat = 38, ntyp = 4
/
ATOMIC_SPECIES
O 16.00 O.upf
H 1.01 H.upf
Sn 118.71 Sn.upf
Sr 87.62 Sr.upf
CELL_PARAMETERS angstrom
5.864 -0.266 0.000
-2.728 6.509 0.000
0.000 0.000 9.857
ATOMIC_POSITIONS angstrom
O -1.071 3.625 7.787
O 1.861 3.492 6.998
O 4.207 2.618 2.070
O 0.926 5.573 3.161
O 1.962 5.741 5.828
O 0.893 1.845 0.347
O -0.689 4.531 5.275
O 2.243 4.398 9.510
O 2.210 0.670 6.695
O -0.970 5.874 8.957
O 4.106 0.369 0.899
O 5.142 0.537 8.090
O 3.825 1.712 4.582
O 1.275 2.751 2.859
O 1.174 0.502 4.029
O -2.006 5.706 1.767
H 1.172 6.262 2.474
H 3.296 2.860 1.798
H -1.117 4.972 8.441
H 1.320 1.404 3.512
H -1.760 6.395 2.455
H 3.981 1.866 3.594
H 4.252 1.271 1.416
H -0.846 4.377 6.263
H 0.364 2.993 3.130
H 2.772 3.250 6.727
H 4.896 -0.152 7.402
H 1.815 4.839 6.344
H 2.086 4.244 8.523
H 1.964 -0.019 7.383
H -0.160 3.383 8.059
H 1.049 1.999 1.334
Sn 2.932 -0.133 4.928
Sn 0.000 0.000 0.000
Sr 0.101 4.460 1.018
Sr 3.033 4.327 3.910
Sr 3.035 1.783 8.839
Sr 0.103 1.916 5.946

(4)
! Sr3HO (meta-GGA SCAN, PBEsol geometry); values from VASP
! E_tot ... -15.335 eV/atom
! SG ... No. 221
! D(E_F) ... 2.20 states/eV per cell
! M_tot ... 0.00 μB per formula unit
&SYSTEM
  ibrav = 0, nat = 5, ntyp = 3
/
ATOMIC_SPECIES
H 1.01 H.upf
O 16.00 O.upf
Sr 87.62 Sr.upf
CELL_PARAMETERS angstrom
5.103 0.000 0.000
0.000 5.103 0.000
0.000 0.000 5.103
ATOMIC_POSITIONS angstrom
H 0.000 0.000 0.000
O 2.551 2.551 2.551
Sr 2.551 0.000 0.000
Sr 0.000 0.000 2.551
Sr 0.000 2.551 0.000

(5)
! Sr2TcHO (meta-GGA SCAN, PBEsol geometry); values from VASP
! E_tot ... -17.872 eV/atom
! SG ... No. 123
! D(E_F) ... 2.03 states/eV per cell
! M_tot ... 0.00 μB per formula unit
&SYSTEM
  ibrav = 0, nat = 5, ntyp = 4
/
ATOMIC_SPECIES
Tc 98.00 Tc.upf
Sr 87.62 Sr.upf
O 16.00 O.upf
H 1.01 H.upf
CELL_PARAMETERS angstrom
2.810 0.000 0.000
0.000 5.449 0.000
0.000 0.000 5.449
ATOMIC_POSITIONS angstrom
Tc 1.405 2.725 2.725
Sr 0.000 0.000 2.725
Sr 0.000 2.725 0.000
O 0.000 0.000 0.000
H 1.405 0.000 0.000

(6)
! SrTeH2O4 (meta-GGA SCAN, PBEsol geometry); values from VASP
! E_tot ... -13.169 eV/atom
! SG ... No. 14
! D(E_F) ... 0.00 states/eV per cell
! M_tot ... 0.00 μB per formula unit
&SYSTEM
  ibrav = 0, nat = 32, ntyp = 4
/
ATOMIC_SPECIES
O 16.00 O.upf
H 1.01 H.upf
Sr 87.62 Sr.upf
Te 127.60 Te.upf
CELL_PARAMETERS angstrom
-2.983 5.497 -3.364
1.380 -3.402 -6.783
-7.373 -2.461 2.517
ATOMIC_POSITIONS angstrom
O -7.246 2.775 -3.690
O -4.686 -1.993 -5.757
O -4.291 1.626 -1.873
O -6.695 -0.351 -0.862
O -0.367 -0.530 -3.485
O -6.955 0.571 -6.621
O -2.203 1.507 -3.420
O -1.730 -3.142 -3.939
O 0.158 -2.895 -5.710
O -6.773 -1.873 -4.210
O -2.022 -0.938 -1.009
O -9.135 2.528 -1.919
O -2.282 -0.016 -6.767
O -4.604 0.805 -5.043
O -8.610 0.163 -4.144
O -4.373 -1.172 -2.587
H -8.875 3.067 -1.096
H -4.877 -2.659 -6.501
H -5.534 -1.964 -5.178
H -3.443 1.597 -2.451
H -0.602 -3.028 -5.032
H -8.375 2.661 -2.597
H -4.100 2.292 -1.128
H -0.102 -3.433 -6.533
Sr -5.753 -3.354 -2.453
Sr -6.244 0.530 -3.166
Sr -2.733 -0.896 -4.463
Sr -3.224 2.988 -5.176
Te -5.070 0.537 -6.851
Te -0.993 1.048 -7.669
Te -3.907 -0.904 -0.779
Te -7.984 -1.414 0.040

(7)
! Sr2V4Te2H2O17 (meta-GGA SCAN, PBEsol geometry); values from VASP
! E_tot ... -13.443 eV/atom
! SG ... No. 15
! D(E_F) ... 0.00 states/eV per cell
! M_tot ... 0.00 μB per formula unit
&SYSTEM
  ibrav = 0, nat = 54, ntyp = 5
/
ATOMIC_SPECIES
H 1.01 H.upf
V 50.94 V.upf
O 16.00 O.upf
Sr 87.62 Sr.upf
Te 127.60 Te.upf
CELL_PARAMETERS angstrom
-4.353 1.733 1.772
-7.258 -6.829 -4.070
-2.144 -9.499 11.102
ATOMIC_POSITIONS angstrom
H -10.000 -6.718 1.120
H -4.396 -9.266 7.466
H -3.755 -7.877 7.683
H -9.359 -5.329 1.338
V -4.378 -0.872 2.403
V -4.848 -4.365 -2.362
V -7.888 -4.280 4.192
V -9.377 -13.723 6.400
V -8.907 -10.231 11.165
V -3.398 -5.259 5.675
V -5.866 -10.315 4.611
V -10.356 -9.337 3.128
O -4.866 -6.758 8.434
O -4.872 -5.938 5.548
O -5.877 -4.731 -1.079
O -6.099 -8.675 4.517
O -8.936 -4.003 -1.425
O -8.290 -13.119 7.615
O -7.516 -2.561 0.327
O -2.980 -5.197 3.851
O -6.239 -12.034 8.477
O -5.209 -5.727 2.174
O -10.159 -12.278 5.793
O -6.994 -3.502 2.903
O -10.775 -9.398 4.953
O -0.899 -1.877 1.915
O -2.305 -6.470 6.094
O -8.883 -8.657 3.256
O -6.761 -11.093 5.901
O -10.910 -11.245 3.311
O -3.596 -2.318 3.010
O -7.658 -5.330 0.943
O -3.518 -8.793 7.348
O -3.331 0.258 1.789
O -4.819 -10.592 10.228
O -10.236 -5.802 1.456
O -7.878 -9.864 9.883
O -2.845 -3.350 5.493
O -11.450 -8.125 2.710
O -12.856 -12.718 6.889
O -7.656 -5.920 4.286
O -8.889 -7.837 0.370
O -5.465 -1.476 1.189
O -6.097 -9.265 7.861
O -8.546 -8.868 6.630
O -10.424 -14.853 7.015
Sr -5.782 -8.315 10.293
Sr -7.973 -6.280 -1.489
Sr -6.772 -7.075 6.649
Sr -6.983 -7.520 2.155
Te -7.434 -10.552 7.686
Te -1.830 -2.748 3.803
Te -6.321 -4.043 1.118
Te -11.924 -11.848 5.001

(8)
! Sr2YHO (meta-GGA SCAN, PBEsol geometry); values from VASP
! E_tot ... -16.433 eV/atom
! SG ... No. 123
! D(E_F) ... 3.03 states/eV per cell
! M_tot ... 0.00 μB per formula unit
&SYSTEM
  ibrav = 0, nat = 5, ntyp = 4
/
ATOMIC_SPECIES
H 1.01 H.upf
Y 88.91 Y.upf
O 16.00 O.upf
Sr 87.62 Sr.upf
CELL_PARAMETERS angstrom
-0.587 -4.271 -1.029
0.289 -1.074 4.291
-6.131 0.701 0.589
ATOMIC_POSITIONS angstrom
H 0.000 0.000 0.000
Y -3.214 -2.322 1.925
O -3.066 0.350 0.294
Sr -0.294 -2.135 -0.515
Sr 0.145 -0.537 2.145

(9)
! SrZnH6O5 (meta-GGA SCAN, PBEsol geometry); values from VASP
! E_tot ... -8.255 eV/atom
! SG ... No. 2
! D(E_F) ... 0.00 states/eV per cell
! M_tot ... 0.00 μB per formula unit
&SYSTEM
  ibrav = 0, nat = 26, ntyp = 4
/
ATOMIC_SPECIES
H 1.01 H.upf
O 16.00 O.upf
Zn 65.41 Zn.upf
Sr 87.62 Sr.upf
CELL_PARAMETERS angstrom
5.982 -0.015 0.010
1.833 6.099 -0.088
2.984 1.089 6.883
ATOMIC_POSITIONS angstrom
H 2.569 1.245 5.622
H 6.407 5.916 0.337
H 3.607 1.677 3.642
H 7.192 5.496 3.163
H 8.230 5.927 1.183
H 4.391 1.256 6.468
H 6.605 6.720 4.879
H 4.194 0.452 1.926
H 9.114 3.481 6.476
H 1.685 3.691 0.329
H 5.236 5.356 4.034
H 5.563 1.816 2.771
O 3.608 1.725 2.659
O 2.400 3.031 0.424
O 3.215 6.082 0.982
O 4.496 4.705 4.031
O 6.303 2.468 2.774
O 7.583 1.090 5.823
O 6.419 5.722 1.374
O 7.191 5.447 4.146
O 8.399 4.141 6.380
O 4.380 1.451 5.431
Zn 1.828 1.738 1.826
Zn 8.971 5.434 4.979
Sr 4.478 3.956 1.640
Sr 6.321 3.216 5.165

(10)
! Ti6H2O13 (meta-GGA SCAN, PBEsol geometry); values from VASP
! E_tot ... -11.727 eV/atom
! SG ... No. 12
! D(E_F) ... 0.00 states/eV per cell
! M_tot ... 0.00 μB per formula unit
&SYSTEM
  ibrav = 0, nat = 21, ntyp = 3
/
ATOMIC_SPECIES
Ti 47.87 Ti.upf
O 16.00 O.upf
H 1.01 H.upf
CELL_PARAMETERS angstrom
3.739 0.000 0.000
-1.870 7.237 0.085
0.000 -1.100 9.191
ATOMIC_POSITIONS angstrom
Ti 0.000 1.882 4.148
Ti 1.870 4.598 8.358
Ti 0.000 1.539 0.918
Ti 1.870 4.255 5.128
Ti 0.000 2.462 7.118
Ti 1.870 3.675 2.158
O 0.000 1.473 8.563
O 1.870 2.449 4.045
O 1.870 4.664 0.713
O 0.000 1.071 5.745
O 0.000 0.000 0.000
O 1.870 1.898 1.227
O 1.870 5.610 6.437
O 1.870 2.987 6.906
O 1.870 5.066 3.532
O 0.000 3.150 2.370
O 0.000 3.688 5.231
O 0.000 4.239 8.049
O 0.000 0.527 2.839
H 1.870 6.769 3.064
H 0.000 -0.632 6.213

(11)
! TiZnH2O (meta-GGA SCAN, PBEsol geometry); values from VASP
! E_tot ... -7.807 eV/atom
! SG ... No. 123
! D(E_F) ... 1.80 states/eV per cell
! M_tot ... 2.27 μB per formula unit
&SYSTEM
  ibrav = 0, nat = 5, ntyp = 4
/
ATOMIC_SPECIES
Ti 47.87 Ti.upf
H 1.01 H.upf
Zn 65.41 Zn.upf
O 16.00 O.upf
CELL_PARAMETERS angstrom
-0.814 2.791 -2.093
-3.126 -1.850 -1.250
-2.055 1.542 2.856
ATOMIC_POSITIONS angstrom
Ti -2.997 1.242 -0.244
H -1.563 -0.925 -0.625
H -1.027 0.771 1.428
Zn -0.407 1.395 -1.046
O 0.000 0.000 0.000

(12)
! TlHO2 (meta-GGA SCAN, PBEsol geometry); values from VASP
! E_tot ... -22.873 eV/atom
! SG ... No. 166
! M_tot ... 0.00 μB per formula unit
&SYSTEM
  ibrav = 0, nat = 4, ntyp = 3
/
ATOMIC_SPECIES
O 16.00 O.upf
H 1.01 H.upf
Tl 204.38 Tl.upf
CELL_PARAMETERS angstrom
3.470 0.000 0.000
1.735 3.005 0.000
1.735 1.002 4.606
ATOMIC_POSITIONS angstrom
O 5.205 3.005 1.212
O 1.735 1.002 3.394
H 0.000 0.000 0.000
Tl 3.470 2.003 2.303